LiTaGe3 PBE relaxed; DOS(E_F) = 2.20 states/eV/cell; DFT total energy = -26.47 eV for the cell shown; magnetic moment = 0.000 Bohr magnetons per cell; energy relative to the lowest polymorph listed for this composition = 0.0 meV per atom; SG = Pm-3m, No. 221
1.0
5.037 0.000 0.000
0.000 5.037 0.000
0.000 0.000 5.037
Ge Li Ta
3 1 1
Cartesian
0.000 2.518 0.000
0.000 0.000 2.518
2.518 0.000 0.000
2.518 2.518 2.518
0.000 0.000 0.000